# CdInSi, relaxed, DFT PBE
# Offset from the most stable computed form ... 0.000 eV per atom
# Total magnetic moment ... 0.00 μB/cell
# Volume ... 24.31 A^3/atom
# Total energy ... -8.29 eV/f.u.
# Uncorrected formation energy ... 0.8 eV per formula unit
data_CdInSi
_chemical_formula_sum 'Cd4 In4 Si4'
_symmetry_space_group_name_H-M 'F -4 3 m'
_symmetry_Int_Tables_number 216
_symmetry_space_group_name_Hall 'F -4 2 3'
_cell_length_a 6.632
_cell_length_b 6.632
_cell_length_c 6.632
_cell_angle_alpha 90.00
_cell_angle_beta 90.00
_cell_angle_gamma 90.00
loop_
_atom_site_label
_atom_site_fract_x
_atom_site_fract_y
_atom_site_fract_z
Cd1 0.000 0.000 0.000
In1 0.000 0.000 0.500
Si1 0.250 0.250 0.750